A | Material: La4PrSm7
Method: DFT, PBE
State: relaxed

Output
Fermi-level density of states   1.51 states/eV per atom

Cell: 6.4262 7.3821 9.1865 Å, 89.88 76.55 89.96°
Space group P-1 (No. 2)
Inequivalent atoms, fractional coordinates:
1 La 0.2202 0.2480 0.3331
2 La 0.2782 0.5002 0.6690
3 Pr 0.5000 0.0000 0.0000
4 Sm 0.9996 0.2487 0.9989
5 Sm 0.2229 0.7519 0.3289
6 Sm 0.2797 0.9996 0.6702
7 Sm 0.5000 0.5000 0.0000


B | Material: La4PrSm7
Method: DFT, PBE
State: relaxed

Output
Fermi-level density of states   1.69 states/eV per atom

Cell: 12.2785 6.1171 13.1002 Å, 90.00 117.55 90.00°
Space group C2/m (No. 12)
Inequivalent atoms, fractional coordinates:
1 La 0.0584 0.0000 0.3293
2 La 0.1411 0.5000 0.7768
3 Pr 0.0000 0.5000 0.0000
4 Sm 0.0000 0.0000 0.0000
5 Sm 0.1346 0.5000 0.5026
6 Sm 0.2121 0.0000 0.9229
7 Sm 0.2490 0.0000 0.6817


Quick one: most stable of them? A


A | Material: La3PrSm7
Method: DFT, PBE
State: relaxed

Output
Fermi-level density of states   1.56 states/eV per atom

Cell: 12.9401 11.4609 6.0062 Å, 90.00 117.59 90.00°
Space group C2/m (No. 12)
Inequivalent atoms, fractional coordinates:
1 La 0.0000 0.0000 0.0000
2 La 0.0000 0.2117 0.5000
3 Pr 0.0000 0.5000 0.0000
4 Sm 0.0000 0.5000 0.5000
5 Sm 0.2046 0.1986 0.2051
6 Sm 0.2065 0.0000 0.7067


B | Material: La3PrSm7
Method: DFT, PBE
State: relaxed

Output
Fermi-level density of states   1.46 states/eV per atom

Cell: 11.9100 10.2589 6.5214 Å, 90.00 95.01 90.00°
Space group C2/m (No. 12)
Inequivalent atoms, fractional coordinates:
1 La 0.0000 0.0000 0.0000
2 La 0.0000 0.1763 0.5000
3 Pr 0.0000 0.5000 0.0000
4 Sm 0.0000 0.5000 0.5000
5 Sm 0.2374 0.0000 0.7099
6 Sm 0.2439 0.3278 0.7611


Quick one: most stable of them? B


A | Material: LaPr7Sm2
Method: DFT, PBE
State: relaxed

Output
Fermi-level density of states   1.49 states/eV per atom

Cell: 5.6827 7.9870 16.4207 Å, 90.00 90.00 90.00°
Space group Immm (No. 71)
Inequivalent atoms, fractional coordinates:
1 La 0.0000 0.0000 0.0000
2 Pr 0.0000 0.0000 0.5000
3 Pr 0.0000 0.3006 0.3699
4 Pr 0.0000 0.5000 0.1529
5 Sm 0.0000 0.0000 0.2130


B | Material: LaPr7Sm2
Method: DFT, PBE
State: relaxed

Output
Fermi-level density of states   1.54 states/eV per atom

Cell: 9.0185 16.5355 5.7444 Å, 90.00 90.00 90.00°
Space group Cmmm (No. 65)
Inequivalent atoms, fractional coordinates:
1 La 0.0000 0.0000 0.0000
2 Pr 0.0000 0.2297 0.0000
3 Pr 0.0000 0.5000 0.5000
4 Pr 0.1805 0.1161 0.5000
5 Sm 0.0000 0.2975 0.5000


Quick one: most stable of them? A


A | Material: La3Pr3Sm5
Method: DFT, PBE
State: relaxed

Output
Fermi-level density of states   1.74 states/eV per atom

Cell: 9.8013 9.8013 5.6809 Å, 90.00 90.00 120.00°
Space group P-62m (No. 189)
Inequivalent atoms, fractional coordinates:
1 La 0.0000 0.4083 0.0000
2 Pr 0.0000 0.2711 0.5000
3 Sm 0.0000 0.6346 0.5000
4 Sm 0.3333 0.6667 0.5000


B | Material: La3Pr3Sm5
Method: DFT, PBE
State: relaxed

Output
Fermi-level density of states   1.71 states/eV per atom

Cell: 9.7114 9.7114 5.6261 Å, 90.00 90.00 120.00°
Space group P-62m (No. 189)
Inequivalent atoms, fractional coordinates:
1 La 0.0000 0.3649 0.0000
2 Pr 0.0000 0.4967 0.5000
3 Sm 0.0000 0.7271 0.0000
4 Sm 0.3333 0.6667 0.0000


Quick one: most stable of them? A


A | Material: La2Pr8Sm
Method: DFT, PBE
State: relaxed

Output
Fermi-level density of states   1.72 states/eV per atom

Cell: 17.1509 6.9399 6.9063 Å, 90.00 100.74 90.00°
Space group C2/m (No. 12)
Inequivalent atoms, fractional coordinates:
1 La 0.1976 0.0000 0.3119
2 Pr 0.0871 0.2627 0.9074
3 Pr 0.0905 0.5000 0.4137
4 Pr 0.2440 0.0000 0.8181
5 Sm 0.0000 0.0000 0.5000


B | Material: La2Pr8Sm
Method: DFT, PBE
State: relaxed

Output
Fermi-level density of states   1.75 states/eV per atom

Cell: 18.9142 5.2589 8.3051 Å, 90.00 105.25 90.00°
Space group C2/m (No. 12)
Inequivalent atoms, fractional coordinates:
1 La 0.2270 0.0000 0.1358
2 Pr 0.0446 0.0000 0.2282
3 Pr 0.0904 0.5000 0.9530
4 Pr 0.1357 0.0000 0.6791
5 Pr 0.1810 0.5000 0.4082
6 Sm 0.0000 0.5000 0.5000


Quick one: most stable of them? B


A | Material: La12Pr7Sm
Method: DFT, PBE
State: relaxed

Output
Fermi-level density of states   1.94 states/eV per atom

Cell: 12.6569 12.6569 15.7524 Å, 90.00 90.00 120.00°
Space group R-3 (No. 148, hexagonal axes)
Inequivalent atoms, fractional coordinates:
1 La 0.0215 0.4432 0.2228
2 La 0.0637 0.5915 0.5787
3 Pr 0.0000 0.0000 0.0000
4 Pr 0.0587 0.1854 0.3004
5 Sm 0.0000 0.0000 0.5000


B | Material: La12Pr7Sm
Method: DFT, PBE
State: relaxed

Output
Fermi-level density of states   1.47 states/eV per atom

Cell: 18.9423 18.9423 7.1865 Å, 90.00 90.00 120.00°
Space group R-3 (No. 148, hexagonal axes)
Inequivalent atoms, fractional coordinates:
1 La 0.0014 0.2175 0.2831
2 La 0.0072 0.5393 0.7392
3 Pr 0.0000 0.0000 0.5000
4 Pr 0.0041 0.1564 0.7681
5 Sm 0.0000 0.0000 0.0000


Quick one: most stable of them? A


A | Material: LaPr12Sm7
Method: DFT, PBE
State: relaxed

Output
Fermi-level density of states   1.54 states/eV per atom

Cell: 17.3799 17.3799 8.3418 Å, 90.00 90.00 120.00°
Space group R-3 (No. 148, hexagonal axes)
Inequivalent atoms, fractional coordinates:
1 La 0.0000 0.0000 0.0000
2 Pr 0.9998 0.2857 0.9995
3 Pr 0.1053 0.5526 0.9696
4 Sm 0.0000 0.0000 0.5000
5 Sm 0.1090 0.2179 0.7309


B | Material: LaPr12Sm7
Method: DFT, PBE
State: relaxed

Output
Fermi-level density of states   1.35 states/eV per atom

Cell: 11.7444 11.7444 11.7444 Å, 90.00 90.00 90.00°
Space group Im-3m (No. 229)
Inequivalent atoms, fractional coordinates:
1 La 0.0000 0.0000 0.0000
2 Pr 0.0000 0.2524 0.2524
3 Sm 0.0000 0.0000 0.5000
4 Sm 0.2500 0.2500 0.2500


Quick one: most stable of them? A


A | Material: La7Pr2Sm2
Method: DFT, PBE
State: relaxed

Output
Fermi-level density of states   1.53 states/eV per atom

Cell: 11.7004 11.6913 6.2791 Å, 90.00 111.40 90.00°
Space group C2/m (No. 12)
Inequivalent atoms, fractional coordinates:
1 La 0.0000 0.0000 0.0000
2 La 0.0758 0.5000 0.8035
3 La 0.1841 0.2301 0.1785
4 Pr 0.2280 0.0000 0.5945
5 Sm 0.0000 0.2153 0.5000


B | Material: La7Pr2Sm2
Method: DFT, PBE
State: relaxed

Output
Fermi-level density of states   1.39 states/eV per atom

Cell: 17.7772 12.0580 3.7632 Å, 90.00 97.26 90.00°
Space group C2/m (No. 12)
Inequivalent atoms, fractional coordinates:
1 La 0.0000 0.0000 0.0000
2 La 0.1007 0.5000 0.7515
3 La 0.1649 0.2493 0.1810
4 Pr 0.2056 0.0000 0.6664
5 Sm 0.0000 0.2520 0.5000


Quick one: most stable of them? B


A | Material: LaPr3Sm6
Method: DFT, PBE
State: relaxed

Output
Fermi-level density of states   2.16 states/eV per atom

Cell: 10.1088 10.1088 11.9488 Å, 90.00 90.00 120.00°
Space group R32 (No. 155, hexagonal axes)
Inequivalent atoms, fractional coordinates:
1 La 0.0000 0.0000 0.0000
2 Pr 0.0000 0.0000 0.2494
3 Pr 0.0000 0.0000 0.5000
4 Sm 0.0000 0.3259 0.0000
5 Sm 0.0000 0.6759 0.5000


B | Material: LaPr3Sm6
Method: DFT, PBE
State: relaxed

Output
Fermi-level density of states   1.46 states/eV per atom

Cell: 11.1705 19.3995 6.4496 Å, 90.00 90.00 90.00°
Space group Cmc2_1 (No. 36)
Inequivalent atoms, fractional coordinates:
1 La 0.0000 0.1890 0.0000
2 Pr 0.0000 0.3845 0.9809
3 Pr 0.1760 0.1160 0.3586
4 Sm 0.0000 0.0365 0.7625
5 Sm 0.0000 0.2799 0.5366
6 Sm 0.1680 0.4577 0.4479
7 Sm 0.2398 0.2913 0.2730


Quick one: most stable of them? B